Entry 1:
Entry from the Alexandria database: PrHo2ErIn4 after structural relaxation (PBE).

abc: 9.292 9.292 9.292
angles: 33.42 33.42 33.42
Atoms (fractional coordinates):
Pr (0.000, 0.000, 0.000)
Ho (0.249, 0.249, 0.249)
Ho (0.751, 0.751, 0.751)
Er (0.500, 0.500, 0.500)
In (0.127, 0.127, 0.127)
In (0.377, 0.377, 0.377)
In (0.623, 0.623, 0.623)
In (0.873, 0.873, 0.873)

Raw total energy in eV/f.u.: -33.1
Spin magnetization in μB/cell: 0.0
Fermi-level density of states in states/eV/cell: 3.98

***

Entry 2:
Entry from the Alexandria database: HoErInPt after structural relaxation (PBE).

abc: 7.206 7.206 7.206
angles: 90.00 90.00 90.00
Atoms (fractional coordinates):
Ho (0.000, 0.000, 0.000)
Ho (0.000, 0.500, 0.500)
Ho (0.500, 0.000, 0.500)
Ho (0.500, 0.500, 0.000)
Er (0.000, 0.000, 0.500)
Er (0.000, 0.500, 0.000)
Er (0.500, 0.000, 0.000)
Er (0.500, 0.500, 0.500)
In (0.250, 0.250, 0.750)
In (0.250, 0.750, 0.250)
In (0.750, 0.250, 0.250)
In (0.750, 0.750, 0.750)
Pt (0.250, 0.250, 0.250)
Pt (0.250, 0.750, 0.750)
Pt (0.750, 0.250, 0.750)
Pt (0.750, 0.750, 0.250)

Raw total energy in eV/f.u.: -21.0
Spin magnetization in μB/cell: 0.0
Fermi-level density of states in states/eV/cell: 14.00

***

Entry 3:
Entry from the Alexandria database: HoErInRh after structural relaxation (PBE).

abc: 7.159 7.159 7.159
angles: 90.00 90.00 90.00
Atoms (fractional coordinates):
Ho (0.000, 0.000, 0.000)
Ho (0.000, 0.500, 0.500)
Ho (0.500, 0.000, 0.500)
Ho (0.500, 0.500, 0.000)
Er (0.000, 0.000, 0.500)
Er (0.000, 0.500, 0.000)
Er (0.500, 0.000, 0.000)
Er (0.500, 0.500, 0.500)
In (0.250, 0.250, 0.750)
In (0.250, 0.750, 0.250)
In (0.750, 0.250, 0.250)
In (0.750, 0.750, 0.750)
Rh (0.250, 0.250, 0.250)
Rh (0.250, 0.750, 0.750)
Rh (0.750, 0.250, 0.750)
Rh (0.750, 0.750, 0.250)

Raw total energy in eV/f.u.: -21.6
Energy above the lowest structure with this stoichiometry in eV per atom: 0.120
Spin magnetization in μB/cell: 0.0
Fermi-level density of states in states/eV/cell: 7.01

***

Entry 4:
Entry from the Alexandria database: HoErInRh after structural relaxation (PBE).

abc: 3.508 3.508 7.475
angles: 90.00 90.00 90.00
Atoms (fractional coordinates):
Ho (0.000, 0.000, 0.000)
Er (0.000, 0.000, 0.566)
In (0.500, 0.500, 0.284)
Rh (0.500, 0.500, 0.780)

Raw total energy in eV/f.u.: -22.0
Energy above the lowest structure with this stoichiometry in eV per atom: 0.000
Spin magnetization in μB/cell: 0.0
Fermi-level density of states in states/eV/cell: 1.30